(1)
TbSm4Tm10: optimized geometry, PBE.

a = 7.6420 Å, b = 9.3740 Å, c = 9.3740 Å
α = 80.44°, β = 65.94°, γ = 65.94°
Fractional positions:
Tm 0.9506 0.8995 0.7014
Tm 0.0494 0.1005 0.2986
Tm 0.5516 0.1005 0.2986
Sm 0.3993 0.8015 0.3999
Tm 0.3479 0.7014 0.1005
Tm 0.4484 0.8995 0.7014
Tm 0.1499 0.2986 0.8995
Sm 0.6007 0.1985 0.6001
Sm 0.7992 0.6001 0.8015
Tm 0.7500 0.5000 0.5000
Tm 0.8501 0.7014 0.1005
Tb 0.0000 0.0000 0.0000
Tm 0.6521 0.2986 0.8995
Tm 0.2500 0.5000 0.5000
Sm 0.2008 0.3999 0.1985

## Properties
total energy = -3.79 eV per atom
M_tot = 0.000 μB per atom
energy relative to the elements = 0.76 eV/atom
DOS(E_F) = 1.386 states/eV per atom

(2)
Tb3Sm3Tm5: optimized geometry, PBE.

a = 5.4862 Å, b = 9.6051 Å, c = 9.6051 Å
α = 120.00°, β = 90.00°, γ = 90.00°
Fractional positions:
Sm 0.5000 0.6329 0.6329
Tm 0.5000 0.0000 0.7297
Tb 0.0000 0.4487 0.4487
Sm 0.5000 0.0000 0.3671
Tm 0.5000 0.6667 0.3333
Tb 0.0000 0.5513 0.0000
Tm 0.5000 0.7297 0.0000
Sm 0.5000 0.3671 0.0000
Tm 0.5000 0.3333 0.6667
Tm 0.5000 0.2703 0.2703
Tb 0.0000 0.0000 0.5513

## Properties
total energy = -3.76 eV per atom
M_tot = 0.000 μB per atom
energy relative to the elements = 0.82 eV/atom
DOS(E_F) = 1.555 states/eV per atom

(3)
Tb5SmTm3: optimized geometry, PBE.

a = 9.6851 Å, b = 11.9294 Å, c = 6.9796 Å
α = 125.78°, β = 90.00°, γ = 113.95°
Fractional positions:
Tb 0.6954 0.6951 0.9449
Tb 0.6385 0.0000 0.2500
Tm 0.3316 0.6638 0.6638
Sm 0.6965 0.0000 0.7500
Tm 0.0000 0.0000 0.5000
Tb 0.3615 0.0000 0.7500
Sm 0.3035 0.0000 0.2500
Tm 0.0000 0.0000 0.0000
Tb 0.0000 0.6397 0.8898
Tb 0.3603 0.3603 0.6102
Tb 0.0000 0.3603 0.1102
Tm 0.6678 0.3362 0.8362
Tb 0.0003 0.3049 0.5551
Tb 0.6397 0.6397 0.3898
Tb 0.9997 0.6951 0.4449
Tb 0.3046 0.3049 0.0551
Tm 0.3322 0.6638 0.1638
Tm 0.6684 0.3362 0.3362

## Properties
total energy = -4.54 eV per atom
M_tot = 0.000 μB per atom
energy relative to the elements = 0.05 eV/atom
DOS(E_F) = 1.302 states/eV per atom
polymorph energy (0 for the lowest one) = 0.000 eV per formula unit

(4)
Tb7Sm2Tm3: optimized geometry, PBE.

a = 3.5122 Å, b = 6.3230 Å, c = 17.8411 Å
α = 75.54°, β = 90.00°, γ = 90.00°
Fractional positions:
Tm 0.0000 0.8907 0.6575
Tb 0.0000 0.5612 0.1639
Tb 0.5000 0.2411 0.5021
Tb 0.5000 0.7589 0.4979
Tm 0.5000 0.5000 0.0000
Tm 0.0000 0.1093 0.3425
Tb 0.0000 0.4388 0.8361
Tb 0.5000 0.0595 0.1683
Sm 0.5000 0.6122 0.3277
Sm 0.5000 0.3878 0.6723
Tb 0.0000 0.0000 0.0000
Tb 0.5000 0.9405 0.8317

## Properties
total energy = -4.53 eV per atom
M_tot = 0.000 μB per atom
energy relative to the elements = 0.07 eV/atom
DOS(E_F) = 1.430 states/eV per atom